1.
Material: RbZn2Cd9
Method: DFT, PBE
State: optimized geometry

Cell: 9.346 9.346 9.346 Å, 99.94 99.94 130.91°
Sites, in units of the cell vectors:
Rb (0.375, 0.625, 0.750)
Rb (0.625, 0.375, 0.250)
Zn (0.000, 0.000, 0.000)
Zn (0.000, 0.000, 0.500)
Zn (0.000, 0.500, 0.000)
Zn (0.500, 0.000, 0.500)
Cd (0.125, 0.875, 0.250)
Cd (0.136, 0.562, 0.332)
Cd (0.136, 0.805, 0.574)
Cd (0.195, 0.270, 0.332)
Cd (0.195, 0.864, 0.926)
Cd (0.270, 0.195, 0.832)
Cd (0.270, 0.438, 0.074)
Cd (0.438, 0.270, 0.574)
Cd (0.438, 0.864, 0.168)
Cd (0.562, 0.136, 0.832)
Cd (0.562, 0.730, 0.426)
Cd (0.730, 0.562, 0.926)
Cd (0.730, 0.805, 0.168)
Cd (0.805, 0.136, 0.074)
Cd (0.805, 0.730, 0.668)
Cd (0.864, 0.195, 0.426)
Cd (0.864, 0.438, 0.668)
Cd (0.875, 0.125, 0.750)

Properties
spin magnetization: 0.00 μB per formula unit
space-group type: I4_1/amd
mass density: 7.3 g cm⁻³
formation energy from the elements: -0.05 eV/atom


2.
Material: TiAg2O2F2
Method: DFT, PBE
State: optimized geometry

Cell: 3.228 5.203 6.424 Å, 107.53 91.48 106.33°
Sites, in units of the cell vectors:
Ti (0.000, 0.000, 0.000)
Ag (0.333, 0.702, 0.422)
Ag (0.667, 0.298, 0.578)
O (0.100, 0.186, 0.295)
O (0.900, 0.814, 0.705)
F (0.393, 0.764, 0.039)
F (0.607, 0.236, 0.961)

Properties
spin magnetization: 0.00 μB per formula unit
space-group type: P-1
mass density: 5.7 g cm⁻³
formation energy (no corrections): -1.7002 eV per atom


3.
Material: NaSr2CdOs
Method: DFT, PBE
State: optimized geometry

Cell: 5.669 5.669 5.608 Å, 90.00 90.00 90.00°
Sites, in units of the cell vectors:
Na (0.000, 0.000, 0.000)
Sr (0.000, 0.500, 0.500)
Sr (0.500, 0.000, 0.500)
Cd (0.500, 0.500, 0.000)
Os (0.000, 0.000, 0.500)

Properties
spin magnetization: 0.00 μB per formula unit
space-group type: P4/mmm
mass density: 4.6 g cm⁻³
formation energy from the elements: 0.60 eV/atom


4.
Material: Ac5HoPb4
Method: DFT, PBE
State: optimized geometry

Cell: 10.668 10.668 9.552 Å, 106.85 106.85 23.71°
Sites, in units of the cell vectors:
Ac (0.000, 0.000, 0.000)
Ac (0.332, 0.332, 0.136)
Ac (0.333, 0.333, 0.679)
Ac (0.667, 0.667, 0.321)
Ac (0.668, 0.668, 0.864)
Ho (0.000, 0.000, 0.500)
Pb (0.163, 0.163, 0.592)
Pb (0.500, 0.500, 0.265)
Pb (0.500, 0.500, 0.735)
Pb (0.837, 0.837, 0.408)

Properties
spin magnetization: 0.00 μB per formula unit
space-group type: C2/m
mass density: 8.5 g cm⁻³
formation energy from the elements: -0.23 eV/atom